Cr2IrCl | PBE | optimized geometry

Cell: 4.9589 4.9589 4.9589 Å, 147.16 127.78 63.08°
Positions (direct):
Cl 0.2500 0.7500 0.5000
Cr 0.0252 0.0252 0.0000
Ir 0.7500 0.2500 0.5000
Cr 0.4748 0.4748 0.0000

* calculated volume: 51.7 Å³/cell
* raw total energy: -6.77 eV per atom
* magnetization: 0.000 μB/atom
* space-group type: No. 71